A relaxed Ac2NdGe3Pt4 crystal, computed with PBE.

Computed properties:
* calculated total energy: -6.045 eV/atom
* crystal system: tetragonal
* energy of formation: -21.8 kcal/mol of atoms
* magnetization: 0.000 μB per atom

Lattice parameters (Å, degrees): 4.462 4.462 11.351 90.00 90.00 90.00
Space group P-4m2 (No. 115)
One atom of each set of equivalent atoms:
Ac 0.000 0.500 0.225 [2 per cell]
Nd 0.000 0.000 0.500 [1 per cell]
Ge 0.000 0.500 0.886 [2 per cell]
Ge 0.500 0.500 0.500 [1 per cell]
Pt 0.000 0.000 0.000 [1 per cell]
Pt 0.000 0.500 0.664 [2 per cell]
Pt 0.500 0.500 0.000 [1 per cell]